Entry 1:
Below is a relaxed structure of ZrTa2Be9, with properties calculated at the PBE level.

Output
- SG = No. 166
- VASP energy (eV per formula unit) = -68.9

Structure (CIF):
```
data_ZrTa2Be9
_chemical_formula_sum 'Zr1 Ta2 Be9'
_cell_length_a 7.621
_cell_length_b 7.621
_cell_length_c 7.621
_cell_angle_alpha 35.16
_cell_angle_beta 35.16
_cell_angle_gamma 35.16
_space_group_name_H-M_alt 'P 1'
_space_group_IT_number 1
loop_
_space_group_symop_operation_xyz
'x,y,z'
loop_
_atom_site_label
_atom_site_fract_x
_atom_site_fract_y
_atom_site_fract_z
Be1 0.413 0.924 0.413
Ta1 0.858 0.858 0.858
Be2 0.500 0.500 0.500
Ta2 0.142 0.142 0.142
Be3 0.587 0.587 0.076
Zr1 0.000 0.000 0.000
Be4 0.335 0.335 0.335
Be5 0.076 0.587 0.587
Be6 0.413 0.413 0.924
Be7 0.665 0.665 0.665
Be8 0.587 0.076 0.587
Be9 0.924 0.413 0.413
```

***

Entry 2:
Below is a relaxed structure of Zr2TaBe, with properties calculated at the PBE level.

Output
- SG = No. 216
- VASP energy (eV per formula unit) = -31.4

Structure (CIF):
```
data_Zr2TaBe
_chemical_formula_sum 'Zr2 Ta1 Be1'
_cell_length_a 4.689
_cell_length_b 4.689
_cell_length_c 4.689
_cell_angle_alpha 60.00
_cell_angle_beta 60.00
_cell_angle_gamma 60.00
_space_group_name_H-M_alt 'P 1'
_space_group_IT_number 1
loop_
_space_group_symop_operation_xyz
'x,y,z'
loop_
_atom_site_label
_atom_site_fract_x
_atom_site_fract_y
_atom_site_fract_z
Ta1 0.250 0.250 0.250
Be1 0.500 0.500 0.500
Zr1 0.000 0.000 0.000
Zr2 0.750 0.750 0.750
```

***

Entry 3:
Below is a relaxed structure of ZrTaBe2, with properties calculated at the PBE level.

Output
- SG = No. 216
- VASP energy (eV per formula unit) = -25.3

Structure (CIF):
```
data_ZrTaBe2
_chemical_formula_sum 'Zr1 Ta1 Be2'
_cell_length_a 4.434
_cell_length_b 4.434
_cell_length_c 4.434
_cell_angle_alpha 60.00
_cell_angle_beta 60.00
_cell_angle_gamma 60.00
_space_group_name_H-M_alt 'P 1'
_space_group_IT_number 1
loop_
_space_group_symop_operation_xyz
'x,y,z'
loop_
_atom_site_label
_atom_site_fract_x
_atom_site_fract_y
_atom_site_fract_z
Zr1 0.250 0.250 0.250
Ta1 0.500 0.500 0.500
Be1 0.750 0.750 0.750
Be2 0.000 0.000 0.000
```

***

Entry 4:
Below is a relaxed structure of ZrTaBe, with properties calculated at the PBE level.

Output
- SG = No. 216
- energy above the most stable polymorph in this dataset (meV per atom) = 0

Structure (CIF):
```
data_ZrTaBe
_chemical_formula_sum 'Zr1 Ta1 Be1'
_cell_length_a 4.217
_cell_length_b 4.217
_cell_length_c 4.217
_cell_angle_alpha 60.00
_cell_angle_beta 60.00
_cell_angle_gamma 60.00
_space_group_name_H-M_alt 'P 1'
_space_group_IT_number 1
loop_
_space_group_symop_operation_xyz
'x,y,z'
loop_
_atom_site_label
_atom_site_fract_x
_atom_site_fract_y
_atom_site_fract_z
Ta1 0.250 0.250 0.250
Be1 0.000 0.000 0.000
Zr1 0.750 0.750 0.750
```

***

Entry 5:
Below is a relaxed structure of ZrTa2Be, with properties calculated at the PBE level.

Output
- SG = No. 216
- VASP energy (eV per formula unit) = -35.1

Structure (CIF):
```
data_ZrTa2Be
_chemical_formula_sum 'Zr1 Ta2 Be1'
_cell_length_a 4.618
_cell_length_b 4.618
_cell_length_c 4.618
_cell_angle_alpha 60.00
_cell_angle_beta 60.00
_cell_angle_gamma 60.00
_space_group_name_H-M_alt 'P 1'
_space_group_IT_number 1
loop_
_space_group_symop_operation_xyz
'x,y,z'
loop_
_atom_site_label
_atom_site_fract_x
_atom_site_fract_y
_atom_site_fract_z
Be1 0.500 0.500 0.500
Zr1 0.250 0.250 0.250
Ta1 0.750 0.750 0.750
Ta2 0.000 0.000 0.000
```

***

Entry 6:
Below is a relaxed structure of TbBe, with properties calculated at the PBE level.

Output
- SG = No. 225
- energy above the most stable polymorph in this dataset (meV per atom) = 0

Structure (CIF):
```
data_TbBe
_chemical_formula_sum 'Tb1 Be1'
_cell_length_a 4.047
_cell_length_b 4.047
_cell_length_c 4.047
_cell_angle_alpha 60.00
_cell_angle_beta 60.00
_cell_angle_gamma 60.00
_space_group_name_H-M_alt 'P 1'
_space_group_IT_number 1
loop_
_space_group_symop_operation_xyz
'x,y,z'
loop_
_atom_site_label
_atom_site_fract_x
_atom_site_fract_y
_atom_site_fract_z
Tb1 0.500 0.500 0.500
Be1 0.000 0.000 0.000
```

***

Entry 7:
Below is a relaxed structure of Tb5Be, with properties calculated at the PBE level.

Output
- SG = No. 191
- VASP energy (eV per formula unit) = -21.8

Structure (CIF):
```
data_Tb5Be
_chemical_formula_sum 'Tb5 Be1'
_cell_length_a 6.292
_cell_length_b 6.292
_cell_length_c 5.737
_cell_angle_alpha 90.00
_cell_angle_beta 90.00
_cell_angle_gamma 120.00
_space_group_name_H-M_alt 'P 1'
_space_group_IT_number 1
loop_
_space_group_symop_operation_xyz
'x,y,z'
loop_
_atom_site_label
_atom_site_fract_x
_atom_site_fract_y
_atom_site_fract_z
Tb1 0.500 0.000 0.500
Tb2 0.500 0.500 0.500
Tb3 0.000 0.500 0.500
Tb4 0.667 0.333 0.000
Tb5 0.333 0.667 0.000
Be1 0.000 0.000 0.000
```

***

Entry 8:
Below is a relaxed structure of TbBe, with properties calculated at the PBE level.

Output
- SG = No. 187
- energy above the most stable polymorph in this dataset (meV per atom) = 31

Structure (CIF):
```
data_TbBe
_chemical_formula_sum 'Tb1 Be1'
_cell_length_a 3.459
_cell_length_b 3.459
_cell_length_c 4.291
_cell_angle_alpha 90.00
_cell_angle_beta 90.00
_cell_angle_gamma 120.00
_space_group_name_H-M_alt 'P 1'
_space_group_IT_number 1
loop_
_space_group_symop_operation_xyz
'x,y,z'
loop_
_atom_site_label
_atom_site_fract_x
_atom_site_fract_y
_atom_site_fract_z
Be1 0.667 0.333 0.750
Tb1 0.333 0.667 0.250
```

***

Calculated magnetic moment in order - 0.0 0.0 0.0 0.0 0.0 0.0 0.0 0.0 μB per formula unit